# La2MgSc GGA-PBEsol relaxed
# space-group type: No. 123
# electronic total energy: -19.025 eV per formula unit
# D(E_F): 4.74 states/eV per cell
data_La2MgSc
_symmetry_space_group_name_H-M 'P 1'
_symmetry_Int_Tables_number 1
_cell_length_a 3.726
_cell_length_b 5.606
_cell_length_c 5.606
_cell_angle_alpha 90.00
_cell_angle_beta 90.00
_cell_angle_gamma 90.00
loop_
_symmetry_equiv_pos_as_xyz
'x,y,z'
loop_
_atom_site_label
_atom_site_fract_x
_atom_site_fract_y
_atom_site_fract_z
_atom_site_occupancy
Sc1 0.500 0.000 0.000 1
La1 0.000 0.000 0.500 1
La2 0.000 0.500 0.000 1
Mg1 0.500 0.500 0.500 1

=====

# Rb2HI GGA-PBEsol relaxed
# space-group type: No. 122
# electronic total energy: -10.152 eV per formula unit
# D(E_F): 0.00 states/eV per cell
data_Rb2HI
_symmetry_space_group_name_H-M 'P 1'
_symmetry_Int_Tables_number 1
_cell_length_a 7.363
_cell_length_b 7.363
_cell_length_c 7.363
_cell_angle_alpha 105.25
_cell_angle_beta 111.62
_cell_angle_gamma 111.62
loop_
_symmetry_equiv_pos_as_xyz
'x,y,z'
loop_
_atom_site_label
_atom_site_fract_x
_atom_site_fract_y
_atom_site_fract_z
_atom_site_occupancy
Rb1 0.580 0.375 0.455 1
Rb2 0.420 0.875 0.795 1
Rb3 0.080 0.205 0.625 1
Rb4 0.920 0.545 0.125 1
H1 0.000 0.500 0.500 1
H2 0.500 0.250 0.750 1
I1 0.500 0.750 0.250 1
I2 0.000 0.000 0.000 1

=====

- electronic total energy of number 2 (Rb2HI)?
  -10.152 eV per formula unit